# 1
Material: Pr3TiSb5
Method: DFT, meta-GGA SCAN
State: single point on PBEsol structure

Summary:
Energy relative to the elements, uncorrected (eV per atom): -1.019

a = 9.3663 Å, b = 9.3663 Å, c = 6.1845 Å
α = 90.00°, β = 90.00°, γ = 120.00°
Last column: nearest neighbours and their distance in Å.
Space group P6_3/mcm (No. 193)
Unique sites:
Pr (0.0000, 0.3825, 0.2500) (multiplicity 6)  9 Sb 3.16-3.41
Ti (0.0000, 0.0000, 0.0000) (multiplicity 2)  6 Sb 2.84, 2 Ti 3.09
Sb (0.0000, 0.2538, 0.7500) (multiplicity 6)  2 Ti 2.84, 2 Pr 3.16
Sb (0.3333, 0.6667, 0.0000) (multiplicity 4)  2 Sb 3.09, 6 Pr 3.30

---

# 2
Material: PrVSb3
Method: DFT, meta-GGA SCAN
State: single point on PBEsol structure

Summary:
Energy relative to the elements, uncorrected (eV per atom): -0.621

a = 13.1080 Å, b = 6.2502 Å, c = 5.9152 Å
α = 90.00°, β = 90.00°, γ = 90.00°
Last column: nearest neighbours and their distance in Å.
Space group Pbcm (No. 57)
Unique sites:
Pr (0.1910, 0.0008, 0.2500) (multiplicity 4)  9 Sb 3.19-3.38, 2 V 3.55
V (0.4061, 0.7500, 0.0000) (multiplicity 4)  6 Sb 2.69-2.71, 2 V 2.96
Sb (0.0010, 0.7500, 0.0000) (multiplicity 4)  4 Sb 2.96-3.13, 4 Pr 3.29-3.31
Sb (0.2831, 0.0044, 0.7500) (multiplicity 4)  2 V 2.70
Sb (0.4351, 0.1043, 0.2500) (multiplicity 4)  4 V 2.69-2.71

---

# 3
Material: Pr3ZrSb5
Method: DFT, meta-GGA SCAN
State: single point on PBEsol structure

Summary:
Energy relative to the elements, uncorrected (eV per atom): -1.080

a = 9.4396 Å, b = 9.4396 Å, c = 6.2662 Å
α = 90.00°, β = 90.00°, γ = 120.00°
Last column: nearest neighbours and their distance in Å.
Space group P6_3/mcm (No. 193)
Unique sites:
Pr (0.0000, 0.3820, 0.2500) (multiplicity 6)  9 Sb 3.20-3.34
Zr (0.0000, 0.0000, 0.0000) (multiplicity 2)  6 Sb 2.95, 2 Zr 3.13
Sb (0.0000, 0.2642, 0.7500) (multiplicity 6)  2 Zr 2.95, 2 Pr 3.20
Sb (0.3333, 0.6667, 0.0000) (multiplicity 4)  2 Sb 3.13, 6 Pr 3.33

---

# 4
Material: Pr3Sc
Method: DFT, meta-GGA SCAN
State: single point on PBEsol structure

Summary:
Calculated formation energy (eV/atom): 0.0390
ΔE to the lowest computed polymorph (meV per atom): 0

a = 4.9795 Å, b = 4.9795 Å, c = 9.9685 Å
α = 90.00°, β = 90.00°, γ = 90.00°
Last column: nearest neighbours and their distance in Å.
Space group I4/mmm (No. 139)
Unique sites:
Pr (0.0000, 0.0000, 0.0000) (multiplicity 2)  4 Sc 3.52, 8 Pr 3.52
Pr (0.0000, 0.5000, 0.2500) (multiplicity 4)  8 Pr 3.52, 4 Sc 3.52
Sc (0.0000, 0.0000, 0.5000) (multiplicity 2)  12 Pr 3.52

---

# 5
Material: Pr3Sc
Method: DFT, meta-GGA SCAN
State: single point on PBEsol structure

Summary:
Calculated formation energy (eV/atom): 0.0460
ΔE to the lowest computed polymorph (meV per atom): 7

a = 7.1259 Å, b = 7.1259 Å, c = 5.6903 Å
α = 90.00°, β = 90.00°, γ = 120.00°
Last column: nearest neighbours and their distance in Å.
Space group P6_3/mmc (No. 194)
Unique sites:
Pr (0.1702, 0.3404, 0.2500) (multiplicity 6)  4 Sc 3.49-3.56, 8 Pr 3.49-3.64
Sc (0.3333, 0.6667, 0.7500) (multiplicity 2)  12 Pr 3.49-3.56

---

# 6
Material: Pr2ScSi2
Method: DFT, meta-GGA SCAN
State: single point on PBEsol structure

Summary:
Energy relative to the elements, uncorrected (eV per atom): -0.738

a = 7.3352 Å, b = 7.3352 Å, c = 4.4019 Å
α = 90.00°, β = 90.00°, γ = 90.00°
Last column: nearest neighbours and their distance in Å.
Space group P4/mbm (No. 127)
Unique sites:
Pr (0.1778, 0.3222, 0.0000) (multiplicity 4)  6 Si 3.06-3.12
Sc (0.0000, 0.0000, 0.5000) (multiplicity 2)  4 Si 2.93
Si (0.1179, 0.6179, 0.5000) (multiplicity 4)  1 Si 2.45

---

# 7
Material: Pr2Se3
Method: DFT, meta-GGA SCAN
State: single point on PBEsol structure

Summary:
Energy relative to the elements, uncorrected (eV per atom): -2.151

a = 8.8531 Å, b = 8.8531 Å, c = 26.5577 Å
α = 90.00°, β = 90.00°, γ = 90.00°
Last column: nearest neighbours and their distance in Å.
Space group I-42d (No. 122)
Unique sites:
Pr (0.0000, 0.0000, 0.1668) (multiplicity 8)  8 Se 2.98-3.11
Pr (0.1196, 0.7500, 0.6250) (multiplicity 8)  8 Se 2.99-3.18
Pr (0.1330, 0.7435, 0.9599) (multiplicity 16)  8 Se 2.95-3.22
Se (0.0754, 0.6774, 0.8526) (multiplicity 16)  5 Pr 2.95-3.12
Se (0.0756, 0.6720, 0.1823) (multiplicity 16)  6 Pr 3.00-3.22, 3 Se 3.33-3.35
Se (0.0809, 0.6716, 0.5153) (multiplicity 16)  5 Pr 2.97-3.13

---

# 8
Material: PrSe
Method: DFT, meta-GGA SCAN
State: single point on PBEsol structure

Summary:
Energy relative to the elements, uncorrected (eV per atom): -2.066

a = 5.9460 Å, b = 5.9460 Å, c = 5.9460 Å
α = 90.00°, β = 90.00°, γ = 90.00°
Last column: nearest neighbours and their distance in Å.
Space group Fm-3m (No. 225)
Unique sites:
Pr (0.0000, 0.0000, 0.0000) (multiplicity 4)  6 Se 2.97
Se (0.0000, 0.0000, 0.5000) (multiplicity 4)  6 Pr 2.97